VASP calculation (GGA-PBE) on a geometry-optimized Ce2DyTlN structure.

Cell: 4.9035 4.9015 4.9015 Å, 90.00 90.00 90.00°
Last column: nearest neighbours and their distance in Å.
Sites, in units of the cell vectors:
Tl 0.5000 0.5000 0.5000  4 Dy 3.47, 8 Ce 3.47
Dy 0.5000 0.0000 0.0000  2 N 2.45
N 0.0000 0.0000 0.0000  4 Ce 2.45, 2 Dy 2.45
Ce 0.0000 0.0000 0.5000  2 N 2.45
Ce 0.0000 0.5000 0.0000  2 N 2.45

Results
SG = No. 123

VASP calculation (GGA-PBE) on a geometry-optimized Tb2TcC structure.

Cell: 3.4206 3.4206 8.5004 Å, 78.39 78.39 60.00°
Last column: nearest neighbours and their distance in Å.
Sites, in units of the cell vectors:
Tb 0.8895 0.8895 0.3315  3 C 2.42
Tb 0.1105 0.1105 0.6685  3 C 2.42
Tc 0.0000 0.0000 0.0000  2 Tb 2.74
C 0.5000 0.5000 0.5000  6 Tb 2.42

Results
energy of formation from the pure elements = 0.558 eV/atom
SG = No. 166

VASP calculation (GGA-PBE) on a geometry-optimized Ti2Ag2Hg structure.

Cell: 8.0299 8.0299 2.9626 Å, 90.00 90.00 90.00°
Last column: nearest neighbours and their distance in Å.
Sites, in units of the cell vectors:
Hg 0.5000 0.5000 0.0000  2 Hg 2.96, 4 Ti 3.00
Hg 0.0000 0.0000 0.0000  2 Hg 2.96, 4 Ti 3.00
Ag 0.1292 0.6292 0.5000  6 Ti 2.76-2.80, 3 Ag 2.94-2.96
Ag 0.6292 0.8708 0.5000  6 Ti 2.76-2.80, 3 Ag 2.94-2.96
Ag 0.8708 0.3708 0.5000  6 Ti 2.76-2.80, 3 Ag 2.94-2.96
Ag 0.3708 0.1292 0.5000  6 Ti 2.76-2.80, 3 Ag 2.94-2.96
Ti 0.8348 0.6652 0.0000  6 Ag 2.76-2.80, 2 Ti 2.96, 2 Hg 3.00
Ti 0.3348 0.8348 0.0000  6 Ag 2.76-2.80, 2 Ti 2.96, 2 Hg 3.00
Ti 0.6652 0.1652 0.0000  6 Ag 2.76-2.80, 2 Ti 2.96, 2 Hg 3.00
Ti 0.1652 0.3348 0.0000  6 Ag 2.76-2.80, 2 Ti 2.96, 2 Hg 3.00

Results
energy of formation from the pure elements = 0.280 eV/atom
SG = No. 127

VASP calculation (GGA-PBE) on a geometry-optimized BeCoNiSn2 structure.

Cell: 4.7881 4.4905 4.7881 Å, 90.00 90.00 90.00°
Last column: nearest neighbours and their distance in Å.
Sites, in units of the cell vectors:
Be 0.5000 0.5000 0.5000  8 Sn 3.28, 4 Co 3.39
Sn 0.0000 0.0000 0.5000  2 Ni 2.39
Sn 0.5000 0.0000 0.0000  2 Ni 2.39
Co 0.0000 0.5000 0.0000  2 Ni 2.25
Ni 0.0000 0.0000 0.0000  2 Co 2.25, 4 Sn 2.39

Results
energy of formation from the pure elements = 0.842 eV/atom
SG = No. 123

VASP calculation (GGA-PBE) on a geometry-optimized CaOsCl2 structure.

Cell: 8.9629 8.9629 8.9629 Å, 22.86 22.86 22.86°
Last column: nearest neighbours and their distance in Å.
Sites, in units of the cell vectors:
Ca 0.7502 0.7502 0.7502  3 Cl 2.67
Cl 0.2205 0.2205 0.2205  3 Os 2.33
Cl 0.0180 0.0180 0.0180  3 Ca 2.67
Os 0.5113 0.5113 0.5113  3 Cl 2.33

Results
SG = No. 160

VASP calculation (GGA-PBE) on a geometry-optimized TmTc4P2 structure.

Cell: 4.0025 4.0428 7.0194 Å, 106.74 90.00 90.00°
Last column: nearest neighbours and their distance in Å.
Sites, in units of the cell vectors:
P 0.5000 0.4147 0.8294  1 P 2.29, 4 Tc 2.40-2.45
P 0.5000 0.5853 0.1706  1 P 2.29, 4 Tc 2.40-2.45
Tc 0.5000 0.8184 0.6368  2 P 2.40, 2 Tc 2.64
Tc 0.5000 0.1816 0.3632  2 P 2.40, 2 Tc 2.64
Tc 0.0000 0.6899 0.3798  2 P 2.45, 4 Tc 2.59-2.64
Tc 0.0000 0.3101 0.6202  2 P 2.45, 4 Tc 2.59-2.64
Tm 0.0000 0.0000 0.0000  8 P 3.07, 8 Tc 3.16-3.26

Results
energy of formation from the pure elements = -0.703 eV/atom
SG = No. 65

VASP calculation (GGA-PBE) on a geometry-optimized CaFe2Re structure.

Cell: 4.9561 4.9561 5.0363 Å, 74.79 74.79 32.66°
Last column: nearest neighbours and their distance in Å.
Sites, in units of the cell vectors:
Ca 0.7451 0.7451 0.7717  2 Ca 2.79, 7 Fe 2.81-3.00, 1 Re 3.09
Fe 0.2600 0.2600 0.2690  2 Fe 2.40, 2 Re 2.52
Fe 0.9647 0.9647 0.0489  2 Fe 2.40, 2 Re 2.50
Re 0.5303 0.5303 0.4103  4 Fe 2.50-2.52, 2 Re 2.79

Results
energy of formation from the pure elements = 0.549 eV/atom
SG = No. 8

VASP calculation (GGA-PBE) on a geometry-optimized MgZnRu2 structure.

Cell: 4.3816 2.7389 4.9775 Å, 83.02 90.00 90.00°
Last column: nearest neighbours and their distance in Å.
Sites, in units of the cell vectors:
Ru 0.0000 0.0351 0.0105  2 Zn 2.60, 5 Ru 2.69-2.78, 2 Mg 2.71
Ru 0.0000 0.4649 0.4895  2 Zn 2.60, 5 Ru 2.69-2.78, 2 Mg 2.71
Mg 0.5000 0.7500 0.7500  4 Zn 2.69-2.98, 4 Ru 2.71, 2 Mg 2.74
Zn 0.5000 0.2500 0.2500  4 Ru 2.60, 2 Mg 2.69, 2 Zn 2.74

Results
energy of formation from the pure elements = 0.118 eV/atom
SG = No. 10

VASP calculation (GGA-PBE) on a geometry-optimized Ac8GePb3 structure.

Cell: 7.9241 7.9241 9.7318 Å, 114.02 114.02 90.00°
Last column: nearest neighbours and their distance in Å.
Sites, in units of the cell vectors:
Ac 0.8774 0.3646 0.2420  1 Ge 3.34, 3 Pb 3.46-3.47
Ac 0.6354 0.1226 0.7580  1 Ge 3.34, 3 Pb 3.46-3.47
Ac 0.8774 0.8774 0.2420  1 Ge 3.34, 3 Pb 3.46-3.47
Ac 0.3646 0.8774 0.2420  1 Ge 3.34, 3 Pb 3.46-3.47
Ac 0.1226 0.1226 0.7580  1 Ge 3.34, 3 Pb 3.46-3.47
Ac 0.1226 0.6354 0.7580  1 Ge 3.34, 3 Pb 3.46-3.47
Ac 0.3646 0.3646 0.2420  1 Ge 3.34, 3 Pb 3.46-3.47
Ac 0.6354 0.6354 0.7580  1 Ge 3.34, 3 Pb 3.46-3.47
Pb 0.2500 0.7500 0.5000  8 Ac 3.47
Pb 0.5000 0.5000 0.0000  8 Ac 3.46
Pb 0.7500 0.2500 0.5000  8 Ac 3.47
Ge 0.0000 0.0000 0.0000  8 Ac 3.34

Results
energy of formation from the pure elements = -0.277 eV/atom
SG = No. 139

VASP calculation (GGA-PBE) on a geometry-optimized NaAs2IrBr structure.

Cell: 4.6106 4.6106 9.4002 Å, 90.00 90.00 90.00°
Last column: nearest neighbours and their distance in Å.
Sites, in units of the cell vectors:
As 0.5000 0.0000 0.0000  2 Ir 2.31
As 0.0000 0.5000 0.0000  2 Ir 2.31
Ir 0.0000 0.0000 0.0000  4 As 2.31
Br 0.0000 0.0000 0.5000  4 Na 3.26
Na 0.5000 0.5000 0.5000  4 Br 3.26

Results
SG = No. 123

VASP calculation (GGA-PBE) on a geometry-optimized Ho6Tm3ZrSc2 structure.

Cell: 5.9580 5.9580 11.3807 Å, 95.00 95.00 119.92°
Last column: nearest neighbours and their distance in Å.
Sites, in units of the cell vectors:
Ho 0.9195 0.5898 0.7594  1 Zr 3.34, 2 Sc 3.35-3.36, 6 Ho 3.40-3.46, 3 Tm 3.52-3.53
Ho 0.4102 0.0805 0.2406  1 Zr 3.34, 2 Sc 3.35-3.36, 6 Ho 3.40-3.46, 3 Tm 3.52-3.53
Ho 0.2491 0.2491 0.7600  1 Zr 3.33, 2 Sc 3.35, 6 Ho 3.40-3.46, 3 Tm 3.52-3.54
Ho 0.5898 0.9195 0.7594  1 Zr 3.34, 2 Sc 3.35-3.36, 6 Ho 3.40-3.46, 3 Tm 3.52-3.53
Ho 0.7509 0.7509 0.2400  1 Zr 3.33, 2 Sc 3.35, 6 Ho 3.40-3.46, 3 Tm 3.52-3.54
Ho 0.0805 0.4102 0.2406  1 Zr 3.34, 2 Sc 3.35-3.36, 6 Ho 3.40-3.46, 3 Tm 3.52-3.53
Tm 0.5000 0.5000 0.5000  6 Tm 3.44, 6 Ho 3.52-3.54
Tm 0.8333 0.1667 0.5000  6 Tm 3.44, 6 Ho 3.52-3.53
Tm 0.1667 0.8333 0.5000  6 Tm 3.44, 6 Ho 3.52-3.53
Sc 0.3332 0.6668 0.0000  6 Ho 3.35-3.36, 3 Zr 3.44, 3 Sc 3.44
Sc 0.6668 0.3332 0.0000  6 Ho 3.35-3.36, 3 Zr 3.44, 3 Sc 3.44
Zr 0.0000 0.0000 0.0000  6 Ho 3.33-3.34, 6 Sc 3.44

Results
energy of formation from the pure elements = 0.053 eV/atom
SG = No. 12

VASP calculation (GGA-PBE) on a geometry-optimized NaLiAg2F4 structure.

Cell: 6.7699 6.7699 6.6799 Å, 120.04 120.04 90.55°
Last column: nearest neighbours and their distance in Å.
Sites, in units of the cell vectors:
Ag 0.5000 0.0000 0.5000  6 F 2.40-2.53
Ag 0.5000 0.5000 0.0000  2 F 2.31
Ag 0.5000 0.0000 0.0000  6 F 2.40-2.53
Ag 0.0000 0.0000 0.5000  2 F 2.31
Li 0.5000 0.5000 0.5000  4 F 2.04-2.06
Li 0.0000 0.0000 0.0000  4 F 2.04-2.06
F 0.1982 0.7709 0.9945  1 Li 2.06, 1 Na 2.29
F 0.2824 0.3040 0.0664  1 Li 2.04
F 0.7176 0.6960 0.9336  1 Li 2.04
F 0.7291 0.3018 0.5055  1 Li 2.06, 1 Na 2.29
F 0.8040 0.7824 0.5664  1 Li 2.04
F 0.2709 0.6982 0.4945  1 Li 2.06, 1 Na 2.29
F 0.1960 0.2176 0.4336  1 Li 2.04
F 0.8018 0.2291 0.0055  1 Li 2.06, 1 Na 2.29
Na 0.0000 0.5000 0.0000  6 F 2.29-2.35
Na 0.0000 0.5000 0.5000  6 F 2.29-2.35

Results
SG = No. 15

Number 1: total magnetic moment 1.591 μB per cell, VASP energy -0.4575 Ry/atom. Number 2: total magnetic moment 1.428 μB per cell, VASP energy -0.4891 Ry/atom. Number 3: total magnetic moment 0.000 μB per cell, VASP energy -0.2998 Ry/atom. Number 4: total magnetic moment 2.089 μB per cell, VASP energy -0.3000 Ry/atom. Number 5: total magnetic moment 0.000 μB per cell, VASP energy -0.3369 Ry/atom. Number 6: total magnetic moment 0.000 μB per cell, VASP energy -0.6476 Ry/atom. Number 7: total magnetic moment 3.633 μB per cell, VASP energy -0.5361 Ry/atom. Number 8: total magnetic moment 0.686 μB per cell, VASP energy -0.3849 Ry/atom. Number 9: total magnetic moment 0.033 μB per cell, VASP energy -0.3181 Ry/atom. Number 10: total magnetic moment 0.001 μB per cell, VASP energy -0.3141 Ry/atom. Number 11: total magnetic moment 0.000 μB per cell, VASP energy -0.3764 Ry/atom. Number 12: total magnetic moment 0.015 μB per cell, VASP energy -0.2877 Ry/atom.